Compound: MnGaSiS
Source: Alexandria
Functional: GGA-PBE
Structure: relaxed

Unit cell a=9.243 b=2.903 c=5.000 alpha=90.00 beta=100.90 gamma=90.00
Each line ends with the local moment (μB).
Atoms (fractional coordinates):
1 S 0.549 0.000 0.869  -0.01
2 S 0.549 0.500 0.369  -0.01
3 Mn 0.394 0.000 0.480  0.33
4 Mn 0.394 0.500 0.980  0.33
5 Si 0.195 0.000 0.079  -0.01
6 Si 0.195 0.500 0.579  -0.01
7 Ga 0.912 0.000 0.982  -0.01
8 Ga 0.912 0.500 0.482  -0.01

Properties
- Magnetic moment: 0.07 μB/atom
- E_form (uncorrected): -0.127 eV/atom
- Volume: 131.7 Å³ per cell
- Uncorrected energy: -5.5635 eV/atom